# 1
ThScPd5 | Alexandria | PBE-GGA | optimized geometry; electronic total energy = -44.86 eV per cell; calculated formation energy = -71 kJ/mol of atoms
1.0
4.1973 0.0000 0.0000
0.0000 4.1973 0.0000
0.0000 0.0000 7.6521
Th Sc Pd
1 1 5
direct
0.0000 0.0000 0.0000
0.5000 0.5000 0.5000
0.0000 0.5000 0.2758
0.0000 0.5000 0.7242
0.5000 0.0000 0.2758
0.5000 0.0000 0.7242
0.5000 0.5000 0.0000



# 2
CaFe4P | Alexandria | PBE-GGA | optimized geometry; electronic total energy = -39.66 eV per cell; calculated formation energy = 26 kJ/mol of atoms
1.0
0.0000 3.4795 3.4795
3.4795 0.0000 3.4795
3.4795 3.4795 0.0000
Ca Fe P
1 4 1
direct
0.0000 0.0000 0.0000
0.3756 0.3756 0.3756
0.3756 0.3756 0.8732
0.3756 0.8732 0.3756
0.8732 0.3756 0.3756
0.7500 0.7500 0.7500



# 3
Nd3HoZr4O14 | Alexandria | PBE-GGA | optimized geometry; electronic total energy = -197.34 eV per cell; raw formation energy = -3.402 eV/atom
1.0
3.7978 2.1927 6.1951
-3.7978 2.1927 6.1951
0.0000 -4.3853 6.1951
Nd Ho Zr O
3 1 4 14
direct
0.0000 0.5000 0.5000
0.5000 0.0000 0.5000
0.5000 0.5000 0.0000
0.5000 0.5000 0.5000
0.0000 0.0000 0.0000
0.0000 0.0000 0.5000
0.0000 0.5000 0.0000
0.5000 0.0000 0.0000
0.0872 0.0872 0.6629
0.0872 0.6629 0.0872
0.0894 0.6633 0.6633
0.3367 0.3367 0.9106
0.3367 0.9106 0.3367
0.3371 0.9128 0.9128
0.3797 0.3797 0.3797
0.6203 0.6203 0.6203
0.6629 0.0872 0.0872
0.6633 0.0894 0.6633
0.6633 0.6633 0.0894
0.9106 0.3367 0.3367
0.9128 0.3371 0.9128
0.9128 0.9128 0.3371



# 4
Th3CoAg | Alexandria | PBE-GGA | optimized geometry; electronic total energy = -65.50 eV per cell; calculated formation energy = -10 kJ/mol of atoms
1.0
8.5363 0.0000 0.0000
0.0000 3.7268 0.0000
-3.5762 0.0000 8.1530
Th Co Ag
6 2 2
direct
0.0904 0.2500 0.3866
0.1762 0.7500 0.0395
0.4038 0.7500 0.7903
0.5962 0.2500 0.2097
0.8238 0.2500 0.9605
0.9096 0.7500 0.6134
0.1654 0.2500 0.8066
0.8346 0.7500 0.1934
0.4047 0.7500 0.3942
0.5953 0.2500 0.6058



# 5
Li2CaYCr | Alexandria | PBE-GGA | optimized geometry; electronic total energy = -13.78 eV per cell; calculated formation energy = 157 kJ/mol of atoms
1.0
4.6368 0.0000 0.0000
0.0000 4.6368 0.0000
0.0000 0.0000 5.6825
Li Ca Y Cr
2 1 1 1
direct
0.0000 0.5000 0.0000
0.5000 0.0000 0.0000
0.0000 0.0000 0.0000
0.0000 0.0000 0.5000
0.5000 0.5000 0.5000



# 6
YGeNF2 | Alexandria | PBE-GGA | optimized geometry; electronic total energy = -30.68 eV per cell; raw formation energy = -1.506 eV/atom; ΔE to the lowest computed polymorph = 0.0000 eV/atom
1.0
4.2899 0.0000 0.0000
0.0000 4.2899 0.0000
0.0000 0.0000 4.6947
Y Ge N F
1 1 1 2
direct
0.0000 0.0000 0.0000
0.5000 0.5000 0.5000
0.0000 0.0000 0.5000
0.0000 0.5000 0.0000
0.5000 0.0000 0.0000



# 7
Hf2TiAl6 | Alexandria | PBE-GGA | optimized geometry; electronic total energy = -52.06 eV per cell; calculated formation energy = -19 kJ/mol of atoms
1.0
4.9661 -2.8446 0.0000
4.9661 2.8446 0.0000
-0.0284 0.0000 5.6094
Hf Ti Al
2 1 6
direct
0.1656 0.1656 0.1463
0.8344 0.8344 0.8537
0.5000 0.5000 0.0000
0.1371 0.6804 0.3228
0.3171 0.3171 0.6785
0.3196 0.8629 0.6772
0.6804 0.1371 0.3228
0.6829 0.6829 0.3215
0.8629 0.3196 0.6772



# 8
Rb3La3TiTe8 | Alexandria | PBE-GGA | optimized geometry; electronic total energy = -69.74 eV per cell; raw formation energy = -1.268 eV/atom
1.0
4.5701 2.6385 8.7495
-4.5701 2.6385 8.7495
0.0000 -5.2771 8.7495
Rb La Ti Te
3 3 1 8
direct
0.0000 0.5000 0.5000
0.5000 0.0000 0.5000
0.5000 0.5000 0.0000
0.0000 0.0000 0.5000
0.0000 0.5000 0.0000
0.5000 0.0000 0.0000
0.5000 0.5000 0.5000
0.2366 0.2366 0.2366
0.2653 0.7115 0.7115
0.2885 0.2885 0.7347
0.2885 0.7347 0.2885
0.7115 0.2653 0.7115
0.7115 0.7115 0.2653
0.7347 0.2885 0.2885
0.7634 0.7634 0.7634



# 9
SrNiBr2 | Alexandria | PBE-GGA | optimized geometry; electronic total energy = -13.58 eV per cell; raw formation energy = -0.693 eV/atom; ΔE to the lowest computed polymorph = 0.3032 eV/atom
1.0
3.9390 0.0000 0.0000
0.0000 3.9505 0.0000
-1.5227 0.0000 6.3705
Sr Ni Br
1 1 2
direct
0.0000 0.0000 0.0000
0.5000 0.0000 0.5000
0.4165 0.5000 0.7304
0.5835 0.5000 0.2696



# 10
Dy6NiSe5 | Alexandria | PBE-GGA | optimized geometry; electronic total energy = -69.60 eV per cell; raw formation energy = -1.566 eV/atom
1.0
3.5404 -6.1187 0.0000
3.5404 6.1187 0.0000
-2.3805 0.0000 6.6431
Dy Ni Se
6 1 5
direct
0.0763 0.3881 0.7337
0.2324 0.2324 0.2603
0.3881 0.0763 0.7337
0.6119 0.9237 0.2663
0.7676 0.7676 0.7397
0.9237 0.6119 0.2663
0.0000 0.0000 0.5000
0.1771 0.8229 0.0000
0.3349 0.6651 0.5000
0.5000 0.5000 0.0000
0.6651 0.3349 0.5000
0.8229 0.1771 0.0000



# 11
Ta2TcAu | Alexandria | PBE-GGA | optimized geometry; electronic total energy = -37.77 eV per cell; calculated formation energy = -10 kJ/mol of atoms; ΔE to the lowest computed polymorph = 0.0288 eV/atom
1.0
-2.0121 2.1393 3.9285
2.0121 -2.1393 3.9285
2.0121 2.1393 -3.9285
Ta Tc Au
2 1 1
direct
0.2420 0.2420 0.0000
0.7580 0.7580 0.0000
0.0000 0.5000 0.5000
0.5000 0.0000 0.5000



# 12
LiAl2 | Alexandria | PBE-GGA | optimized geometry; electronic total energy = -9.53 eV per cell; calculated formation energy = -4 kJ/mol of atoms; ΔE to the lowest computed polymorph = 0.0664 eV/atom
1.0
3.7966 -2.3060 0.0000
3.7966 2.3060 0.0000
-0.2690 0.0000 2.8851
Li Al
1 2
direct
0.0000 0.0000 0.0000
0.3344 0.3344 0.6304
0.6656 0.6656 0.3696



# 13
BaMoIr2 | Alexandria | PBE-GGA | optimized geometry; electronic total energy = -30.13 eV per cell; calculated formation energy = 8 kJ/mol of atoms; ΔE to the lowest computed polymorph = 0.0000 eV/atom
1.0
2.2192 1.2812 5.8873
-2.2192 1.2812 5.8873
0.0000 -2.5625 5.8873
Ba Mo Ir
1 1 2
direct
0.0000 0.0000 0.0000
0.5000 0.5000 0.5000
0.1913 0.1913 0.1913
0.8087 0.8087 0.8087



# 14
Mn2Co2H3 | Alexandria | PBE-GGA | optimized geometry; electronic total energy = -42.26 eV per cell; ΔE to the lowest computed polymorph = 0.0227 eV/atom
1.0
4.8500 -1.3409 0.0000
4.8500 1.3409 0.0000
-0.0078 0.0000 4.1255
Mn Co H
2 2 3
direct
0.1657 0.1657 0.2442
0.8343 0.8343 0.7558
0.4267 0.4267 0.2493
0.5733 0.5733 0.7507
0.0000 0.0000 0.5000
0.1868 0.1868 0.7752
0.8132 0.8132 0.2248



# 15
Nd2ZnCo3Ni12 | Alexandria | PBE-GGA | optimized geometry; electronic total energy = -99.47 eV per cell; calculated formation energy = 11 kJ/mol of atoms
1.0
4.1809 2.4139 4.0035
-4.1809 2.4139 4.0035
0.0000 -4.8277 4.0035
Nd Zn Co Ni
2 1 3 12
direct
0.2286 0.2286 0.2286
0.7714 0.7714 0.7714
0.5000 0.5000 0.5000
0.0000 0.5000 0.5000
0.5000 0.0000 0.5000
0.5000 0.5000 0.0000
0.0788 0.0788 0.6507
0.0788 0.6507 0.0788
0.2280 0.6991 0.6991
0.3009 0.3009 0.7720
0.3009 0.7720 0.3009
0.3493 0.9212 0.9212
0.6507 0.0788 0.0788
0.6991 0.2280 0.6991
0.6991 0.6991 0.2280
0.7720 0.3009 0.3009
0.9212 0.3493 0.9212
0.9212 0.9212 0.3493



# 16
Er12Al6Pb | Alexandria | PBE-GGA | optimized geometry; electronic total energy = -84.66 eV per cell; calculated formation energy = -19 kJ/mol of atoms
1.0
-5.0348 5.0348 5.0348
5.0348 -5.0348 5.0348
5.0348 5.0348 -5.0348
Er Al Pb
12 6 1
direct
0.0998 0.2881 0.8117
0.1883 0.4763 0.2881
0.1883 0.9002 0.7119
0.2881 0.1883 0.4763
0.2881 0.8117 0.0998
0.4763 0.2881 0.1883
0.5237 0.7119 0.8117
0.7119 0.1883 0.9002
0.7119 0.8117 0.5237
0.8117 0.0998 0.2881
0.8117 0.5237 0.7119
0.9002 0.7119 0.1883
0.1242 0.5000 0.6242
0.3758 0.8758 0.5000
0.5000 0.3758 0.8758
0.5000 0.6242 0.1242
0.6242 0.1242 0.5000
0.8758 0.5000 0.3758
0.0000 0.0000 0.0000



# 17
In2RhAuF | Alexandria | PBE-GGA | optimized geometry; electronic total energy = -16.55 eV per cell; raw formation energy = 0.286 eV/atom
1.0
5.2911 0.0000 0.0000
0.0000 5.2911 0.0000
0.0000 0.0000 5.1629
In Rh Au F
2 1 1 1
direct
0.0000 0.5000 0.0000
0.5000 0.0000 0.0000
0.0000 0.0000 0.5000
0.0000 0.0000 0.0000
0.5000 0.5000 0.5000



# 18
TiBi3Pb | Alexandria | PBE-GGA | optimized geometry; electronic total energy = -16.80 eV per cell; calculated formation energy = 124 kJ/mol of atoms; ΔE to the lowest computed polymorph = 1.0859 eV/atom
1.0
5.8198 0.0000 0.0000
0.0000 5.8198 0.0000
0.0000 0.0000 5.8198
Ti Bi Pb
1 3 1
direct
0.0000 0.0000 0.0000
0.0000 0.5000 0.5000
0.5000 0.0000 0.5000
0.5000 0.5000 0.0000
0.5000 0.5000 0.5000



# 19
Tb3Ho4PuS8 | Alexandria | PBE-GGA | optimized geometry; electronic total energy = -111.17 eV per cell; raw formation energy = -1.976 eV/atom
1.0
3.9075 2.2560 6.3839
-3.9075 2.2560 6.3839
0.0000 -4.5120 6.3839
Tb Ho Pu S
3 4 1 8
direct
0.0000 0.5000 0.5000
0.5000 0.0000 0.5000
0.5000 0.5000 0.0000
0.0000 0.0000 0.5000
0.0000 0.5000 0.0000
0.5000 0.0000 0.0000
0.5000 0.5000 0.5000
0.0000 0.0000 0.0000
0.2486 0.2486 0.2486
0.2492 0.7481 0.7481
0.2519 0.2519 0.7508
0.2519 0.7508 0.2519
0.7481 0.2492 0.7481
0.7481 0.7481 0.2492
0.7508 0.2519 0.2519
0.7514 0.7514 0.7514



# 20
TiTcP2S | Alexandria | PBE-GGA | optimized geometry; electronic total energy = -30.92 eV per cell; raw formation energy = 0.458 eV/atom; ΔE to the lowest computed polymorph = 0.0000 eV/atom
1.0
4.4456 0.0000 0.0000
0.0000 4.4456 0.0000
0.0000 0.0000 5.0921
Ti Tc P S
1 1 2 1
direct
0.0000 0.0000 0.0000
0.5000 0.5000 0.5000
0.0000 0.5000 0.5000
0.5000 0.0000 0.5000
0.5000 0.5000 0.0000



# 21
Sc2NbFe | Alexandria | PBE-GGA | optimized geometry; electronic total energy = -29.59 eV per cell; calculated formation energy = 39 kJ/mol of atoms; ΔE to the lowest computed polymorph = 0.0000 eV/atom
1.0
1.4879 0.8591 9.7735
-1.4879 0.8591 9.7735
0.0000 -1.7181 9.7735
Sc Nb Fe
2 1 1
direct
0.1011 0.1011 0.1011
0.8989 0.8989 0.8989
0.0000 0.0000 0.0000
0.5000 0.5000 0.5000



# 22
CrTc3 | Alexandria | PBE-GGA | optimized geometry; electronic total energy = -40.14 eV per cell; calculated formation energy = 14 kJ/mol of atoms
1.0
-1.9165 1.9165 3.8135
1.9165 -1.9165 3.8135
1.9165 1.9165 -3.8135
Cr Tc
1 3
direct
0.0000 0.0000 0.0000
0.2500 0.7500 0.5000
0.5000 0.5000 0.0000
0.7500 0.2500 0.5000



# 23
Sm12Tl4HgO3 | Alexandria | PBE-GGA | optimized geometry; electronic total energy = -99.72 eV per cell; raw formation energy = -0.922 eV/atom
1.0
-5.1176 5.1176 5.1176
5.1176 -5.1176 5.1176
5.1176 5.1176 -5.1176
Sm Tl Hg O
12 4 1 3
direct
0.0000 0.2731 0.2731
0.0000 0.7269 0.7269
0.2500 0.5000 0.7500
0.2500 0.7500 0.5000
0.2731 0.0000 0.2731
0.2731 0.2731 0.0000
0.5000 0.2500 0.7500
0.5000 0.7500 0.2500
0.7269 0.0000 0.7269
0.7269 0.7269 0.0000
0.7500 0.2500 0.5000
0.7500 0.5000 0.2500
0.0000 0.0000 0.5000
0.0000 0.5000 0.0000
0.5000 0.0000 0.0000
0.5000 0.5000 0.5000
0.0000 0.0000 0.0000
0.0000 0.5000 0.5000
0.5000 0.0000 0.5000
0.5000 0.5000 0.0000